Entry 1:
The following is a PBE calculation of a relaxed La6Pr2In3 crystal, from the Alexandria database.

Density in g cm⁻³: 6.27
Crystal system: tetragonal
Formation energy in eV per atom: -0.060
Electronic total energy in eV for the cell shown: -48.00

Cell and atoms, written as POSCAR:
```
La6Pr2In3
1.0
-0.568 -1.428 4.410
3.784 -2.710 -0.391
8.563 15.458 3.636
Pr La In
2 6 3
Direct
0.458 0.458 0.916 Pr
0.542 0.542 0.084 Pr
0.125 0.625 0.250 La
0.875 0.375 0.750 La
0.625 0.125 0.250 La
0.715 0.715 0.430 La
0.285 0.285 0.570 La
0.375 0.875 0.750 La
0.000 0.000 0.000 In
0.808 0.808 0.617 In
0.192 0.192 0.383 In
```

=====

Entry 2:
The following is a PBE calculation of a relaxed La2Pr3In3 crystal, from the Alexandria database.

Density in g cm⁻³: 6.95
Crystal system: orthorhombic
Formation energy in eV per atom: -0.365
Electronic total energy in eV for the cell shown: -35.33

Cell and atoms, written as POSCAR:
```
La2Pr3In3
1.0
-4.380 -1.362 -0.483
1.185 -2.251 -4.400
3.826 -7.208 7.653
Pr In La
3 3 2
Direct
0.500 0.000 0.000 Pr
0.618 0.618 0.237 Pr
0.382 0.382 0.763 Pr
0.000 0.500 0.000 In
0.123 0.123 0.246 In
0.877 0.877 0.754 In
0.737 0.237 0.475 La
0.263 0.763 0.525 La
```

=====

Entry 3:
The following is a PBE calculation of a relaxed La15Pr4In crystal, from the Alexandria database.

Density in g cm⁻³: 6.43
Crystal system: tetragonal
Formation energy in eV per atom: -0.049
Electronic total energy in eV for the cell shown: -96.74

Cell and atoms, written as POSCAR:
```
La15Pr4In
1.0
5.212 0.000 0.000
0.000 5.212 0.000
0.000 0.000 26.281
La Pr In
15 4 1
Direct
0.500 0.000 0.297 La
0.500 0.500 0.400 La
0.000 0.500 0.096 La
0.000 0.500 0.297 La
0.500 0.000 0.703 La
0.500 0.000 0.096 La
0.000 0.500 0.703 La
0.500 0.500 0.802 La
0.500 0.500 0.600 La
0.500 0.000 0.904 La
0.000 0.500 0.500 La
0.000 0.500 0.904 La
0.500 0.000 0.500 La
0.500 0.500 0.000 La
0.500 0.500 0.198 La
0.000 0.000 0.803 Pr
0.000 0.000 0.197 Pr
0.000 0.000 0.600 Pr
0.000 0.000 0.400 Pr
0.000 0.000 0.000 In
```

=====

Entry 4:
The following is a PBE calculation of a relaxed La2Pr5In5 crystal, from the Alexandria database.

Density in g cm⁻³: 7.05
Crystal system: monoclinic
Formation energy in eV per atom: -0.369
Electronic total energy in eV for the cell shown: -51.87

Cell and atoms, written as POSCAR:
```
La2Pr5In5
1.0
-0.952 4.400 0.655
-3.695 2.982 -9.603
-7.019 0.185 4.352
In Pr La
5 5 2
Direct
0.338 0.254 0.071 In
0.677 0.997 0.648 In
0.000 0.500 0.500 In
0.323 0.003 0.352 In
0.662 0.746 0.929 In
0.006 0.235 0.753 Pr
0.000 0.000 0.000 Pr
0.680 0.245 0.396 Pr
0.320 0.755 0.604 Pr
0.994 0.765 0.247 Pr
0.665 0.494 0.176 La
0.335 0.506 0.824 La
```

=====

Entry 5:
The following is a PBE calculation of a relaxed LaPrIn2 crystal, from the Alexandria database.

Density in g cm⁻³: 6.96
Energy above the most stable polymorph in this dataset in meV/atom: 0
Crystal system: tetragonal
Formation energy in eV per atom: -0.507
Electronic total energy in eV for the cell shown: -17.21

Cell and atoms, written as POSCAR:
```
LaPrIn2
1.0
3.929 0.000 0.000
0.000 3.929 0.000
0.000 0.000 7.869
In La Pr
2 1 1
Direct
0.000 0.000 0.244 In
0.000 0.000 0.756 In
0.500 0.500 0.500 La
0.500 0.500 0.000 Pr
```

=====

Entry 6:
The following is a PBE calculation of a relaxed LaPr4In3 crystal, from the Alexandria database.

Density in g cm⁻³: 7.04
Energy above the most stable polymorph in this dataset in meV/atom: 37
Crystal system: orthorhombic
Formation energy in eV per atom: -0.316
Electronic total energy in eV for the cell shown: -69.58

Cell and atoms, written as POSCAR:
```
LaPr4In3
1.0
-4.858 -0.686 3.287
4.145 -1.118 5.893
-0.098 11.258 2.204
Pr In La
8 6 2
Direct
0.911 0.760 0.250 Pr
0.500 0.244 0.500 Pr
0.500 0.756 0.000 Pr
0.089 0.760 0.750 Pr
0.500 0.756 0.500 Pr
0.500 0.244 0.000 Pr
0.911 0.240 0.250 Pr
0.089 0.240 0.750 Pr
0.401 0.000 0.250 In
0.599 0.000 0.750 In
0.000 0.000 0.000 In
0.401 0.500 0.250 In
0.599 0.500 0.750 In
0.000 0.000 0.500 In
0.000 0.500 0.000 La
0.000 0.500 0.500 La
```